Compound: MgAlGeOs2
Source: Alexandria
Functional: PBE-GGA
Structure: relaxed

## Properties
**Electronic total energy**: -5.281 eV/atom
**Space group**: P4/mmm

Geometry as POSCAR:
```
MgAlGeOs2
1.0
-4.003 2.140 0.356
-2.191 -3.873 -1.355
-0.327 -1.334 4.342
Mg Ge Os Al
1 1 2 1
direct
0.500 0.500 0.500
0.000 0.500 0.000
0.000 0.000 0.500
0.500 0.000 0.000
0.000 0.000 0.000
```



Compound: PmMg2AlGe2
Source: Alexandria
Functional: PBE-GGA
Structure: relaxed

## Properties
**Electronic total energy**: -3.866 eV/atom
**Space group**: Pmc2_1

Geometry as POSCAR:
```
PmMg2AlGe2
1.0
4.201 0.000 0.000
0.000 7.105 0.000
0.000 0.000 8.546
Pm Mg Al Ge
2 4 2 4
direct
0.000 0.970 0.418
0.000 0.470 0.582
0.500 0.040 0.077
0.000 0.365 0.181
0.500 0.540 0.923
0.000 0.865 0.819
0.500 0.150 0.695
0.500 0.650 0.305
0.000 0.245 0.877
0.500 0.276 0.377
0.000 0.745 0.123
0.500 0.776 0.623
```



Compound: PrMg2AlGe2
Source: Alexandria
Functional: PBE-GGA
Structure: relaxed

## Properties
**Electronic total energy**: -3.861 eV/atom
**Space group**: Pmc2_1

Geometry as POSCAR:
```
PrMg2AlGe2
1.0
-2.862 2.527 -1.827
-1.575 -5.172 -4.688
-6.044 -2.991 5.330
Pr Mg Al Ge
2 4 2 4
direct
0.000 0.970 0.420
0.000 0.470 0.580
0.500 0.041 0.077
0.000 0.365 0.178
0.500 0.541 0.923
0.000 0.865 0.822
0.500 0.148 0.703
0.500 0.648 0.297
0.000 0.243 0.878
0.500 0.278 0.368
0.000 0.743 0.122
0.500 0.778 0.632
```



Q: Among the records above, which one has the highest electronic total energy?
A: PrMg2AlGe2